1.
This record from the Alexandria database describes an optimized crystal structure of Tm3LuO. The functional is PBE-GGA.

CIF file:
```
data_Tm3LuO
_chemical_formula_sum 'Tm3 Lu1 O1'
_cell_length_a 4.844
_cell_length_b 4.844
_cell_length_c 4.844
_cell_angle_alpha 90.00
_cell_angle_beta 90.00
_cell_angle_gamma 90.00
_space_group_name_H-M_alt 'P m -3 m'
_space_group_IT_number 221
_space_group_name_Hall '-P 4 2 3'
loop_
_atom_site_label
_atom_site_type_symbol
_atom_site_fract_x
_atom_site_fract_y
_atom_site_fract_z
_atom_site_occupancy
Tm1 Tm 0.000 0.000 0.500 1
Lu1 Lu 0.500 0.500 0.500 1
O1 O 0.000 0.000 0.000 1
```

Properties
Its crystal system is cubic. As for the total DFT energy (no corrections): -0.209 hartree per atom.

=====

2.
This record from the Alexandria database describes an optimized crystal structure of Tm2LuO. The functional is PBE-GGA.

CIF file:
```
data_Tm2LuO
_chemical_formula_sum 'Tm2 Lu1 O1'
_cell_length_a 3.149
_cell_length_b 3.149
_cell_length_c 8.448
_cell_angle_alpha 90.00
_cell_angle_beta 90.00
_cell_angle_gamma 90.00
_space_group_name_H-M_alt 'P 4/m m m'
_space_group_IT_number 123
_space_group_name_Hall '-P 4 2'
loop_
_atom_site_label
_atom_site_type_symbol
_atom_site_fract_x
_atom_site_fract_y
_atom_site_fract_z
_atom_site_occupancy
Tm1 Tm 0.000 0.000 0.181 1
Lu1 Lu 0.500 0.500 0.500 1
O1 O 0.500 0.500 0.000 1
```

Properties
Its crystal system is tetragonal. As for the total DFT energy (no corrections): -0.200 hartree per atom.

=====

3.
This record from the Alexandria database describes an optimized crystal structure of Lu2UO. The functional is PBE-GGA.

CIF file:
```
data_Lu2UO
_chemical_formula_sum 'Lu6 U3 O3'
_cell_length_a 3.1687
_cell_length_b 3.1687
_cell_length_c 27.7091
_cell_angle_alpha 90.00
_cell_angle_beta 90.00
_cell_angle_gamma 120.00
_space_group_name_H-M_alt 'R -3 m'
_space_group_IT_number 166
_space_group_name_Hall '-R 3 2"'
loop_
_atom_site_label
_atom_site_type_symbol
_atom_site_fract_x
_atom_site_fract_y
_atom_site_fract_z
_atom_site_occupancy
Lu1 Lu 0.0000 0.0000 0.1152 1
U1 U 0.0000 0.0000 0.0000 1
O1 O 0.0000 0.0000 0.5000 1
```

Properties
Its crystal system is trigonal. As for the total DFT energy (no corrections): -0.268 hartree per atom.

=====

4.
This record from the Alexandria database describes an optimized crystal structure of Lu6UO12. The functional is PBE-GGA.

CIF file:
```
data_Lu6UO12
_chemical_formula_sum 'Lu18 U3 O36'
_cell_length_a 9.8021
_cell_length_b 9.8021
_cell_length_c 9.1923
_cell_angle_alpha 90.00
_cell_angle_beta 90.00
_cell_angle_gamma 120.00
_space_group_name_H-M_alt 'R -3'
_space_group_IT_number 148
_space_group_name_Hall '-R 3'
loop_
_atom_site_label
_atom_site_type_symbol
_atom_site_fract_x
_atom_site_fract_y
_atom_site_fract_z
_atom_site_occupancy
Lu1 Lu 0.0336 0.2485 0.1394 1
U1 U 0.0000 0.0000 0.5000 1
O1 O 0.0274 0.2175 0.8956 1
O2 O 0.0288 0.1958 0.3831 1
```

Properties
Its crystal system is trigonal. As for the total DFT energy (no corrections): -0.323 hartree per atom.

=====

Number 1: DOS at the Fermi energy 4.7 states/eV/f.u.. Number 2: DOS at the Fermi energy 5.4 states/eV/f.u.. Number 3: DOS at the Fermi energy 5.7 states/eV/f.u.. Number 4: DOS at the Fermi energy 0.0 states/eV/f.u..